First-principles (PBE) data for a relaxed structure of ErTi2ReC4, as listed in Alexandria via LeMat-Bulk.

a b c (Å): 5.8528 5.8528 11.0619
angles (deg): 90.00 90.00 148.50
Last column: nearest neighbours and their distance in Å.
Element x y z (fractional)
Er  0.1105  0.8895  0.7500  6 C 2.39-2.63
Er  0.8895  0.1105  0.2500  6 C 2.39-2.63
Ti  0.3711  0.6289  0.5340  3 C 2.04-2.18
Ti  0.3711  0.6289  0.9660  3 C 2.04-2.18
Ti  0.6289  0.3711  0.0340  3 C 2.04-2.18
Ti  0.6289  0.3711  0.4660  3 C 2.04-2.18
Re  0.1549  0.8451  0.2500  4 C 1.93-1.99
Re  0.8451  0.1549  0.7500  4 C 1.93-1.99
C  0.0000  0.0000  0.0000  4 Ti 2.18
C  0.0000  0.0000  0.5000  4 Ti 2.18
C  0.2607  0.7393  0.1127  1 Re 1.93, 1 Ti 2.04
C  0.2607  0.7393  0.3873  1 Re 1.93, 1 Ti 2.04
C  0.4516  0.5484  0.7500  2 Re 1.99
C  0.5484  0.4516  0.2500  2 Re 1.99
C  0.7393  0.2607  0.6127  1 Re 1.93, 1 Ti 2.04
C  0.7393  0.2607  0.8873  1 Re 1.93, 1 Ti 2.04

Values from the calculation:
The formation enthalpy at 0 K comes out at -213 kJ/mol of formula units.

First-principles (PBE) data for a relaxed structure of NdY3TmSc, as listed in Alexandria via LeMat-Bulk.

a b c (Å): 7.8855 7.8855 10.0137
angles (deg): 90.00 90.00 143.32
Last column: nearest neighbours and their distance in Å.
Element x y z (fractional)
Nd  0.0033  0.9967  0.7500  6 Y 3.49-3.58, 2 Sc 3.49, 4 Tm 3.53
Nd  0.9967  0.0033  0.2500  6 Y 3.49-3.58, 2 Sc 3.49, 4 Tm 3.53
Y  0.1666  0.8334  0.5011  2 Nd 3.49-3.58, 5 Y 3.50-3.53, 3 Sc 3.52-3.54, 2 Tm 3.52
Y  0.1666  0.8334  0.9989  2 Nd 3.49-3.58, 5 Y 3.50-3.53, 3 Sc 3.52-3.54, 2 Tm 3.52
Y  0.3309  0.6691  0.7500  2 Sc 3.49, 6 Y 3.50-3.53, 2 Tm 3.56, 2 Nd 3.58
Y  0.6691  0.3309  0.2500  2 Sc 3.49, 6 Y 3.50-3.53, 2 Tm 3.56, 2 Nd 3.58
Y  0.8334  0.1666  0.0011  2 Nd 3.49-3.58, 5 Y 3.50-3.53, 3 Sc 3.52-3.54, 2 Tm 3.52
Y  0.8334  0.1666  0.4989  2 Nd 3.49-3.58, 5 Y 3.50-3.53, 3 Sc 3.52-3.54, 2 Tm 3.52
Tm  0.5000  0.5000  0.0000  6 Y 3.52-3.56, 4 Nd 3.53, 2 Sc 3.54
Tm  0.5000  0.5000  0.5000  6 Y 3.52-3.56, 4 Nd 3.53, 2 Sc 3.54
Sc  0.3327  0.6673  0.2500  8 Y 3.49-3.54, 2 Nd 3.49, 2 Tm 3.54
Sc  0.6673  0.3327  0.7500  8 Y 3.49-3.54, 2 Nd 3.49, 2 Tm 3.54

Values from the calculation:
The formation enthalpy at 0 K comes out at 25 kJ/mol of formula units.

First-principles (PBE) data for a relaxed structure of YSc2Ag6, as listed in Alexandria via LeMat-Bulk.

a b c (Å): 8.1735 8.1735 5.2119
angles (deg): 98.95 98.95 143.21
Last column: nearest neighbours and their distance in Å.
Element x y z (fractional)
Y  0.0000  0.0000  0.0000  10 Ag 2.96-3.04
Sc  0.1659  0.8341  0.5000  10 Ag 2.96-3.03
Sc  0.8341  0.1659  0.5000  10 Ag 2.96-3.03
Ag  0.1703  0.5098  0.1691  5 Ag 2.92-3.05, 4 Sc 2.96-3.03, 1 Y 3.04
Ag  0.3322  0.3322  0.6715  3 Y 2.96-3.04, 2 Sc 2.97, 5 Ag 2.98-3.04
Ag  0.4902  0.8297  0.8309  5 Ag 2.92-3.05, 4 Sc 2.96-3.03, 1 Y 3.04
Ag  0.5098  0.1703  0.1691  5 Ag 2.92-3.05, 4 Sc 2.96-3.03, 1 Y 3.04
Ag  0.6678  0.6678  0.3285  3 Y 2.96-3.04, 2 Sc 2.97, 5 Ag 2.98-3.04
Ag  0.8297  0.4902  0.8309  5 Ag 2.92-3.05, 4 Sc 2.96-3.03, 1 Y 3.04

Values from the calculation:
The formation enthalpy at 0 K comes out at -195 kJ/mol of formula units.

First-principles (PBE) data for a relaxed structure of Ce2PmS5, as listed in Alexandria via LeMat-Bulk.

a b c (Å): 12.0020 8.1450 7.4734
angles (deg): 90.00 90.00 90.00
Last column: nearest neighbours and their distance in Å.
Element x y z (fractional)
Ce  0.1802  0.9995  0.0108  8 S 2.78-3.10
Ce  0.1802  0.5005  0.0108  8 S 2.78-3.10
Ce  0.3198  0.0005  0.5108  8 S 2.78-3.10
Ce  0.3198  0.4995  0.5108  8 S 2.78-3.10
Ce  0.6802  0.9995  0.4892  8 S 2.78-3.10
Ce  0.6802  0.5005  0.4892  8 S 2.78-3.10
Ce  0.8198  0.0005  0.9892  8 S 2.78-3.10
Ce  0.8198  0.4995  0.9892  8 S 2.78-3.10
Pm  0.0087  0.2500  0.5790  7 S 2.73-2.90
Pm  0.4913  0.7500  0.0790  7 S 2.73-2.90
Pm  0.5087  0.2500  0.9210  7 S 2.73-2.90
Pm  0.9913  0.7500  0.4210  7 S 2.73-2.90
S  0.0027  0.2500  0.9665  1 Pm 2.90, 4 Ce 2.97-3.00
S  0.1070  0.5430  0.6610  2 Pm 2.73-2.83, 2 Ce 2.78-2.81
S  0.1070  0.9570  0.6610  2 Pm 2.73-2.83, 2 Ce 2.78-2.81
S  0.1875  0.2500  0.3234  1 Pm 2.87, 4 Ce 2.93-3.10
S  0.2163  0.7500  0.2923  1 Pm 2.87, 4 Ce 2.89-2.96
S  0.2837  0.2500  0.7923  1 Pm 2.87, 4 Ce 2.89-2.96
S  0.3125  0.7500  0.8234  1 Pm 2.87, 4 Ce 2.93-3.10
S  0.3930  0.0430  0.1610  2 Pm 2.73-2.83, 2 Ce 2.78-2.81
S  0.3930  0.4570  0.1610  2 Pm 2.73-2.83, 2 Ce 2.78-2.81
S  0.4973  0.7500  0.4665  1 Pm 2.90, 4 Ce 2.97-3.00
S  0.5027  0.2500  0.5335  1 Pm 2.90, 4 Ce 2.97-3.00
S  0.6070  0.5430  0.8390  2 Pm 2.73-2.83, 2 Ce 2.78-2.81
S  0.6070  0.9570  0.8390  2 Pm 2.73-2.83, 2 Ce 2.78-2.81
S  0.6875  0.2500  0.1766  1 Pm 2.87, 4 Ce 2.93-3.10
S  0.7163  0.7500  0.2077  1 Pm 2.87, 4 Ce 2.89-2.96
S  0.7837  0.2500  0.7077  1 Pm 2.87, 4 Ce 2.89-2.96
S  0.8125  0.7500  0.6766  1 Pm 2.87, 4 Ce 2.93-3.10
S  0.8930  0.0430  0.3390  2 Pm 2.73-2.83, 2 Ce 2.78-2.81
S  0.8930  0.4570  0.3390  2 Pm 2.73-2.83, 2 Ce 2.78-2.81
S  0.9973  0.7500  0.0335  1 Pm 2.90, 4 Ce 2.97-3.00

Values from the calculation:
As for the uncorrected formation energy: -1943 meV per atom.

First-principles (PBE) data for a relaxed structure of PmRe7N12, as listed in Alexandria via LeMat-Bulk.

a b c (Å): 6.6448 6.6448 6.6448
angles (deg): 109.47 109.47 109.47
Last column: nearest neighbours and their distance in Å.
Element x y z (fractional)
Pm  0.0000  0.0000  0.0000  12 N 2.74
Re  0.0000  0.0000  0.5000  6 N 2.04
Re  0.0000  0.5000  0.0000  6 N 2.04
Re  0.0000  0.5000  0.5000  4 N 2.03
Re  0.5000  0.0000  0.0000  6 N 2.04
Re  0.5000  0.0000  0.5000  4 N 2.03
Re  0.5000  0.5000  0.0000  4 N 2.03
Re  0.5000  0.5000  0.5000  6 N 2.04
N  0.1259  0.3074  0.8185  3 Re 2.03-2.04
N  0.1815  0.4890  0.3074  3 Re 2.03-2.04
N  0.1815  0.8741  0.6926  3 Re 2.03-2.04
N  0.3074  0.1815  0.4890  3 Re 2.03-2.04
N  0.3074  0.8185  0.1259  3 Re 2.03-2.04
N  0.4890  0.3074  0.1815  3 Re 2.03-2.04
N  0.5110  0.6926  0.8185  3 Re 2.03-2.04
N  0.6926  0.1815  0.8741  3 Re 2.03-2.04
N  0.6926  0.8185  0.5110  3 Re 2.03-2.04
N  0.8185  0.1259  0.3074  3 Re 2.03-2.04
N  0.8185  0.5110  0.6926  3 Re 2.03-2.04
N  0.8741  0.6926  0.1815  3 Re 2.03-2.04

Values from the calculation:
As for the uncorrected formation energy: 351 meV per atom.

First-principles (PBE) data for a relaxed structure of Tm5GaRu2, as listed in Alexandria via LeMat-Bulk.

a b c (Å): 8.4754 8.4754 8.4754
angles (deg): 127.15 127.15 78.00
Last column: nearest neighbours and their distance in Å.
Element x y z (fractional)
Tm  0.0000  0.0000  0.0000  4 Ru 2.92
Tm  0.0249  0.5249  0.8236  3 Ru 2.78-2.91
Tm  0.2012  0.0249  0.5000  3 Ru 2.78-2.91
Tm  0.2988  0.7988  0.8236  3 Ru 2.78-2.91
Tm  0.4751  0.2988  0.5000  3 Ru 2.78-2.91
Tm  0.5000  0.5000  0.0000  4 Ru 2.92
Tm  0.5249  0.7012  0.5000  3 Ru 2.78-2.91
Tm  0.7012  0.2012  0.1764  3 Ru 2.78-2.91
Tm  0.7988  0.9751  0.5000  3 Ru 2.78-2.91
Tm  0.9751  0.4751  0.1764  3 Ru 2.78-2.91
Ga  0.2500  0.2500  0.0000  10 Tm 3.20-3.29
Ga  0.7500  0.7500  0.0000  10 Tm 3.20-3.29
Ru  0.1395  0.3605  0.5000  8 Tm 2.78-2.92, 1 Ru 2.98
Ru  0.3605  0.8605  0.2210  8 Tm 2.78-2.92, 1 Ru 2.98
Ru  0.6395  0.1395  0.7790  8 Tm 2.78-2.92, 1 Ru 2.98
Ru  0.8605  0.6395  0.5000  8 Tm 2.78-2.92, 1 Ru 2.98

Values from the calculation:
The formation enthalpy at 0 K comes out at -356 kJ/mol of formula units.

First-principles (PBE) data for a relaxed structure of Er5Bi4, as listed in Alexandria via LeMat-Bulk.

a b c (Å): 8.8178 8.8178 8.8178
angles (deg): 93.55 93.55 151.18
Last column: nearest neighbours and their distance in Å.
Element x y z (fractional)
Er  0.0000  0.0000  0.0000  4 Bi 3.19
Er  0.2918  0.6056  0.8974  5 Bi 3.09-3.21
Er  0.3944  0.2918  0.6863  5 Bi 3.09-3.21
Er  0.6056  0.7082  0.3137  5 Bi 3.09-3.21
Er  0.7082  0.3944  0.1026  5 Bi 3.09-3.21
Bi  0.0797  0.7485  0.8282  6 Er 3.09-3.21
Bi  0.2515  0.0797  0.3312  6 Er 3.09-3.21
Bi  0.7485  0.9203  0.6688  6 Er 3.09-3.21
Bi  0.9203  0.2515  0.1718  6 Er 3.09-3.21

Values from the calculation:
The formation enthalpy at 0 K comes out at -531 kJ/mol of formula units.

First-principles (PBE) data for a relaxed structure of Rb2NaUBr8, as listed in Alexandria via LeMat-Bulk.

a b c (Å): 7.1455 7.5338 10.3941
angles (deg): 89.87 89.97 84.50
Last column: nearest neighbours and their distance in Å.
Element x y z (fractional)
Rb  0.0009  0.4994  0.2294  4 Br 3.28-3.66
Rb  0.9991  0.5006  0.7706  4 Br 3.28-3.66
Na  0.5000  0.0000  0.0000  2 Br 2.70
U  0.5000  0.0000  0.5000  6 Br 2.69-2.72
Br  0.2414  0.2854  0.9996  1 Na 2.70
Br  0.2800  0.8788  0.3161  1 U 2.69
Br  0.2827  0.8778  0.6857  1 U 2.69
Br  0.2845  0.3174  0.5006  1 U 2.72
Br  0.7155  0.6826  0.4994  1 U 2.72
Br  0.7173  0.1222  0.3143  1 U 2.69
Br  0.7200  0.1212  0.6839  1 U 2.69
Br  0.7586  0.7146  0.0004  1 Na 2.70

Values from the calculation:
As for the uncorrected formation energy: -1424 meV per atom.